[1]
Material: MnAl2Pd8
Method: DFT, PBE
State: relaxed

Lattice parameters (Å, degrees): 7.1156 7.1156 6.2847 108.99 108.99 33.53
Closest atoms and distances in Å follow each position.
Sites, in units of the cell vectors:
Mn: 0.0000 0.0000 0.0000  8 Pd 2.60-2.83
Al: 0.2827 0.2827 0.3432  8 Pd 2.50-2.78
Al: 0.7173 0.7173 0.6568  8 Pd 2.50-2.78
Pd: 0.1051 0.1051 0.4658  3 Al 2.60-2.78, 5 Pd 2.74-2.83, 1 Mn 2.79
Pd: 0.1772 0.1772 0.9301  1 Al 2.50, 1 Mn 2.60, 6 Pd 2.74-2.78
Pd: 0.3464 0.3464 0.7838  3 Al 2.61-2.64, 7 Pd 2.76-2.91, 2 Mn 2.92
Pd: 0.4591 0.4591 0.2680  1 Al 2.60, 7 Pd 2.74-2.91, 2 Mn 2.83
Pd: 0.5409 0.5409 0.7320  1 Al 2.60, 7 Pd 2.74-2.91, 2 Mn 2.83
Pd: 0.6536 0.6536 0.2162  3 Al 2.61-2.64, 7 Pd 2.76-2.91, 2 Mn 2.92
Pd: 0.8228 0.8228 0.0699  1 Al 2.50, 1 Mn 2.60, 6 Pd 2.74-2.78
Pd: 0.8949 0.8949 0.5342  3 Al 2.60-2.78, 5 Pd 2.74-2.83, 1 Mn 2.79

Summary:
Distance to the lowest polymorph of the same formula   0.0000 eV per atom
D(E_F)   5.2 states/eV/cell
Volume   15.03 Å³ per atom
ρ   9.6 g cm⁻³
Formation energy   -49 kJ per mole of atoms

=====

[2]
Material: CaTm2Zn2
Method: DFT, PBE
State: relaxed

Lattice parameters (Å, degrees): 3.6027 20.1406 3.5352 90.00 90.00 90.00
Closest atoms and distances in Å follow each position.
Sites, in units of the cell vectors:
Ca: 0.0000 0.0000 0.0000  8 Zn 3.20, 2 Ca 3.54, 2 Tm 3.54
Ca: 0.5000 0.5000 0.0000  8 Zn 3.20, 2 Ca 3.54, 2 Tm 3.54
Tm: 0.0000 0.1756 0.0000  4 Zn 2.97
Tm: 0.0000 0.8244 0.0000  4 Zn 2.97
Tm: 0.5000 0.3244 0.0000  4 Zn 2.97
Tm: 0.5000 0.6756 0.0000  4 Zn 2.97
Zn: 0.0000 0.4022 0.5000  4 Tm 2.97, 4 Ca 3.20
Zn: 0.0000 0.5978 0.5000  4 Tm 2.97, 4 Ca 3.20
Zn: 0.5000 0.0978 0.5000  4 Tm 2.97, 4 Ca 3.20
Zn: 0.5000 0.9022 0.5000  4 Tm 2.97, 4 Ca 3.20

Summary:
D(E_F)   10.3 states/eV/cell
Volume   25.65 Å³ per atom
ρ   6.6 g cm⁻³
Formation energy   -13 kJ per mole of atoms

=====

[3]
Material: MnSbMo2As
Method: DFT, PBE
State: relaxed

Lattice parameters (Å, degrees): 5.0184 5.0184 5.0794 90.00 90.00 90.00
Closest atoms and distances in Å follow each position.
Sites, in units of the cell vectors:
Mn: 0.0000 0.0000 0.0000  4 As 3.55, 8 Mo 3.57
Sb: 0.5000 0.5000 0.5000  4 Mo 2.51, 2 As 2.54
Mo: 0.0000 0.5000 0.5000  2 Sb 2.51
Mo: 0.5000 0.0000 0.5000  2 Sb 2.51
As: 0.5000 0.5000 0.0000  2 Sb 2.54

Summary:
D(E_F)   9.7 states/eV/cell
Volume   25.58 Å³ per atom
ρ   5.8 g cm⁻³
Formation energy without anion corrections   55.8 kcal/mol of atoms

=====

[4]
Material: La6Ho12In
Method: DFT, PBE
State: relaxed

Lattice parameters (Å, degrees): 8.5355 8.5355 8.5355 89.51 89.51 89.51
Closest atoms and distances in Å follow each position.
Sites, in units of the cell vectors:
La: 0.1963 0.7648 0.5920  7 Ho 3.35-3.65, 1 In 3.51, 2 La 3.54
La: 0.2352 0.4080 0.8037  7 Ho 3.35-3.65, 1 In 3.51, 2 La 3.54
La: 0.4080 0.8037 0.2352  7 Ho 3.35-3.65, 1 In 3.51, 2 La 3.54
La: 0.5920 0.1963 0.7648  7 Ho 3.35-3.65, 1 In 3.51, 2 La 3.54
La: 0.7648 0.5920 0.1963  7 Ho 3.35-3.65, 1 In 3.51, 2 La 3.54
La: 0.8037 0.2352 0.4080  7 Ho 3.35-3.65, 1 In 3.51, 2 La 3.54
Ho: 0.0350 0.9378 0.2780  5 Ho 3.26-3.65, 3 La 3.35-3.39
Ho: 0.0622 0.7220 0.9650  5 Ho 3.26-3.65, 3 La 3.35-3.39
Ho: 0.1402 0.4822 0.3189  4 La 3.41-3.65, 1 In 3.46, 4 Ho 3.48-3.70
Ho: 0.2780 0.0350 0.9378  5 Ho 3.26-3.65, 3 La 3.35-3.39
Ho: 0.3189 0.1402 0.4822  4 La 3.41-3.65, 1 In 3.46, 4 Ho 3.48-3.70
Ho: 0.4822 0.3189 0.1402  4 La 3.41-3.65, 1 In 3.46, 4 Ho 3.48-3.70
Ho: 0.5178 0.6811 0.8598  4 La 3.41-3.65, 1 In 3.46, 4 Ho 3.48-3.70
Ho: 0.6811 0.8598 0.5178  4 La 3.41-3.65, 1 In 3.46, 4 Ho 3.48-3.70
Ho: 0.7220 0.9650 0.0622  5 Ho 3.26-3.65, 3 La 3.35-3.39
Ho: 0.8598 0.5178 0.6811  4 La 3.41-3.65, 1 In 3.46, 4 Ho 3.48-3.70
Ho: 0.9378 0.2780 0.0350  5 Ho 3.26-3.65, 3 La 3.35-3.39
Ho: 0.9650 0.0622 0.7220  5 Ho 3.26-3.65, 3 La 3.35-3.39
In: 0.5000 0.5000 0.5000  6 Ho 3.46, 6 La 3.51

Summary:
D(E_F)   25.3 states/eV/cell
Volume   32.73 Å³ per atom
ρ   7.8 g cm⁻³
Formation energy   6 kJ per mole of atoms

=====

[5]
Material: Tm5PaIr6
Method: DFT, PBE
State: relaxed

Lattice parameters (Å, degrees): 4.7828 6.9451 7.4146 90.00 105.80 90.00
Closest atoms and distances in Å follow each position.
Sites, in units of the cell vectors:
Tm: 0.0000 0.0000 0.0000  8 Ir 2.90-2.99
Tm: 0.3278 0.5000 0.6579  8 Ir 2.93-2.96, 1 Tm 3.21
Tm: 0.3303 0.0000 0.6646  8 Ir 2.95-3.02, 2 Tm 3.28-3.29
Tm: 0.6697 0.0000 0.3354  8 Ir 2.95-3.02, 2 Tm 3.28-3.29
Tm: 0.6722 0.5000 0.3421  8 Ir 2.93-2.96, 1 Tm 3.21
Pa: 0.0000 0.5000 0.0000  8 Ir 2.87-2.92
Ir: 0.1684 0.2536 0.3217  1 Pa 2.87, 7 Tm 2.90-3.02, 1 Ir 3.20
Ir: 0.1684 0.7464 0.3217  1 Pa 2.87, 7 Tm 2.90-3.02, 1 Ir 3.20
Ir: 0.5000 0.2591 0.0000  2 Pa 2.92, 6 Tm 2.96-3.00, 2 Ir 3.20
Ir: 0.5000 0.7409 0.0000  2 Pa 2.92, 6 Tm 2.96-3.00, 2 Ir 3.20
Ir: 0.8316 0.2536 0.6783  1 Pa 2.87, 7 Tm 2.90-3.02, 1 Ir 3.20
Ir: 0.8316 0.7464 0.6783  1 Pa 2.87, 7 Tm 2.90-3.02, 1 Ir 3.20

Summary:
D(E_F)   3.9 states/eV/cell
Volume   19.75 Å³ per atom
ρ   15.6 g cm⁻³
Formation energy   -87 kJ per mole of atoms

=====

[6]
Material: Ca5Si3H
Method: DFT, PBE
State: relaxed

Lattice parameters (Å, degrees): 9.0453 9.0453 9.0453 129.94 129.94 73.51
Closest atoms and distances in Å follow each position.
Sites, in units of the cell vectors:
Ca: 0.0000 0.0000 0.0000  4 Si 3.10
Ca: 0.0188 0.5188 0.8367  1 H 2.33
Ca: 0.1821 0.0188 0.5000  1 H 2.33
Ca: 0.3179 0.8179 0.8367  1 H 2.33
Ca: 0.4812 0.3179 0.5000  1 H 2.33
Ca: 0.5000 0.5000 0.0000  4 Si 3.10
Ca: 0.5188 0.6821 0.5000  1 H 2.33
Ca: 0.6821 0.1821 0.1633  1 H 2.33
Ca: 0.8179 0.9812 0.5000  1 H 2.33
Ca: 0.9812 0.4812 0.1633  1 H 2.33
Si: 0.1111 0.3889 0.5000  1 Si 2.41
Si: 0.2500 0.2500 0.0000  8 Ca 3.20
Si: 0.3889 0.8889 0.2778  1 Si 2.41
Si: 0.6111 0.1111 0.7222  1 Si 2.41
Si: 0.7500 0.7500 0.0000  8 Ca 3.20
Si: 0.8889 0.6111 0.5000  1 Si 2.41
H: 0.2500 0.7500 0.5000  4 Ca 2.33
H: 0.7500 0.2500 0.5000  4 Ca 2.33

Summary:
Total energy   -3.8012 eV per atom
D(E_F)   14.2 states/eV/cell
Volume   23.59 Å³ per atom
ρ   2.2 g cm⁻³